A crystal of CrSbMo2 relaxed with PBEsol. Source: Alexandria, functional meta-GGA SCAN.

It has space group F-43m (No. 216), with a = 6.253 Å, b = 6.253 Å, c = 6.253 Å, α = 90.00°, β = 90.00° and γ = 90.00°. Symmetry generates all atoms from Cr at (0.000, 0.000, 0.000), Sb at (0.250, 0.250, 0.750), Mo at (0.000, 0.000, 0.500) and Mo at (0.250, 0.250, 0.250).

Its crystal system is cubic. Its density of states at the Fermi level is 9.18 states/eV/cell. The energy relative to the elements, uncorrected is 24.51 kJ per mole of atoms.



A crystal of La3CrS relaxed with PBEsol. Source: Alexandria, functional meta-GGA SCAN.

It has space group Pm-3m (No. 221), with a = 5.437 Å, b = 5.437 Å, c = 5.437 Å, α = 90.00°, β = 90.00° and γ = 90.00°. Symmetry generates all atoms from La at (0.000, 0.000, 0.500), Cr at (0.500, 0.500, 0.500) and S at (0.000, 0.000, 0.000).

Its crystal system is cubic. Its density of states at the Fermi level is 6.03 states/eV/cell. The energy relative to the elements, uncorrected is -57.61 kJ per mole of atoms.



A crystal of LiTe2MoI relaxed with PBEsol. Source: Alexandria, functional meta-GGA SCAN.

It has space group P4/mmm (No. 123), with a = 5.162 Å, b = 5.162 Å, c = 6.007 Å, α = 90.00°, β = 90.00° and γ = 90.00°. Symmetry generates all atoms from Li at (0.000, 0.000, 0.000), Te at (0.000, 0.500, 0.500), Mo at (0.500, 0.500, 0.500) and I at (0.500, 0.500, 0.000).

The calculation puts the energy above the most stable polymorph in this dataset at 0 meV per atom. Its crystal system is tetragonal. Its density of states at the Fermi level is 2.67 states/eV/cell. The energy relative to the elements, uncorrected is 9.57 kJ per mole of atoms.



A crystal of BaSb2Te2 relaxed with PBEsol. Source: Alexandria, functional meta-GGA SCAN.

It has space group I4/mmm (No. 139), with a = 6.078 Å, b = 6.078 Å, c = 9.463 Å, α = 90.00°, β = 90.00° and γ = 90.00°. Symmetry generates all atoms from Ba at (0.000, 0.000, 0.000), Sb at (0.000, 0.000, 0.352) and Te at (0.000, 0.500, 0.250).

Its crystal system is tetragonal. Its density of states at the Fermi level is 8.49 states/eV/cell. The energy relative to the elements, uncorrected is -44.07 kJ per mole of atoms.



A crystal of CdH8C2S2Br2N4 relaxed with PBEsol. Source: Alexandria, functional meta-GGA SCAN.

It has space group Pnma (No. 62), with a = 12.894 Å, b = 13.414 Å, c = 5.959 Å, α = 90.00°, β = 90.00° and γ = 90.00°. Symmetry generates all atoms from Cd at (0.154, 0.250, 0.229), H at (0.102, 0.622, 0.396), H at (0.119, 0.658, 0.113), H at (0.131, 0.086, 0.896), H at (0.140, 0.543, 0.841), C at (0.118, 0.507, 0.171), S at (0.104, 0.082, 0.377), Br at (0.124, 0.250, 0.789), Br at (0.137, 0.750, 0.752), N at (0.115, 0.603, 0.233) and N at (0.133, 0.014, 0.955).

As for the total energy: -9.53 eV/atom. Its crystal system is orthorhombic. Its density of states at the Fermi level is 0.00 states/eV/cell.



A crystal of TaCdMo relaxed with PBEsol. Source: Alexandria, functional meta-GGA SCAN.

It has space group F-43m (No. 216), with a = 6.288 Å, b = 6.288 Å, c = 6.288 Å, α = 90.00°, β = 90.00° and γ = 90.00°. Symmetry generates all atoms from Ta at (0.000, 0.000, 0.000), Cd at (0.250, 0.250, 0.750) and Mo at (0.250, 0.250, 0.250).

The formation energy from the elements comes out at 1210 meV/atom. Its crystal system is cubic. Its density of states at the Fermi level is 15.80 states/eV/cell.



A crystal of Re2Te2Pd relaxed with PBEsol. Source: Alexandria, functional meta-GGA SCAN.

It has space group I4/mmm (No. 139), with a = 3.592 Å, b = 3.592 Å, c = 15.566 Å, α = 90.00°, β = 90.00° and γ = 90.00°. Symmetry generates all atoms from Re at (0.000, 0.500, 0.250), Te at (0.000, 0.000, 0.108) and Pd at (0.000, 0.000, 0.500).

Its crystal system is tetragonal. Its density of states at the Fermi level is 7.05 states/eV/cell. The energy relative to the elements, uncorrected is 54.69 kJ per mole of atoms.



A crystal of Y2BiSb relaxed with PBEsol. Source: Alexandria, functional meta-GGA SCAN.

It has space group I-42d (No. 122), with a = 8.212 Å, b = 8.212 Å, c = 6.859 Å, α = 90.00°, β = 90.00° and γ = 90.00°. Symmetry generates all atoms from Y at (0.244, 0.250, 0.125), Bi at (0.000, 0.000, 0.500) and Sb at (0.000, 0.000, 0.000).

Its crystal system is tetragonal. Its density of states at the Fermi level is 3.32 states/eV/cell. The energy relative to the elements, uncorrected is -76.33 kJ per mole of atoms.



A crystal of ErTmAg2 relaxed with PBEsol. Source: Alexandria, functional meta-GGA SCAN.

It has space group Fm-3m (No. 225), with a = 7.057 Å, b = 7.057 Å, c = 7.057 Å, α = 90.00°, β = 90.00° and γ = 90.00°. Symmetry generates all atoms from Er at (0.000, 0.000, 0.000), Tm at (0.000, 0.000, 0.500) and Ag at (0.250, 0.250, 0.250).

The formation energy from the elements comes out at -401 meV/atom. Its crystal system is cubic. Its density of states at the Fermi level is 8.23 states/eV/cell.



A crystal of BaCa2Pd2 relaxed with PBEsol. Source: Alexandria, functional meta-GGA SCAN.

It has space group I4/mmm (No. 139), with a = 4.711 Å, b = 4.711 Å, c = 12.537 Å, α = 90.00°, β = 90.00° and γ = 90.00°. Symmetry generates all atoms from Ba at (0.000, 0.000, 0.000), Ca at (0.000, 0.500, 0.250) and Pd at (0.000, 0.000, 0.394).

The formation energy from the elements comes out at -539 meV/atom. The calculation puts the energy above the most stable polymorph in this dataset at 0 meV per atom. Its crystal system is tetragonal. Its density of states at the Fermi level is 5.30 states/eV/cell.



A crystal of K2ZnSF relaxed with PBEsol. Source: Alexandria, functional meta-GGA SCAN.

It has space group P4/mmm (No. 123), with a = 5.948 Å, b = 5.948 Å, c = 4.626 Å, α = 90.00°, β = 90.00° and γ = 90.00°. Symmetry generates all atoms from K at (0.000, 0.500, 0.000), Zn at (0.000, 0.000, 0.500), S at (0.000, 0.000, 0.000) and F at (0.500, 0.500, 0.500).

Its crystal system is tetragonal. Its density of states at the Fermi level is 0.33 states/eV/cell. The energy relative to the elements, uncorrected is -110.52 kJ per mole of atoms.



A crystal of Cs3Sn4Au relaxed with PBEsol. Source: Alexandria, functional meta-GGA SCAN.

It has space group Pmmn (No. 59, origin choice 2), with a = 7.300 Å, b = 13.659 Å, c = 6.575 Å, α = 90.00°, β = 90.00° and γ = 90.00°. Symmetry generates all atoms from Cs at (0.250, 0.008, 0.165), Cs at (0.250, 0.250, 0.547), Sn at (0.037, 0.750, 0.961), Sn at (0.250, 0.637, 0.665) and Au at (0.250, 0.750, 0.313).

The formation energy from the elements comes out at -446 meV/atom. Its crystal system is orthorhombic.